! LiTaAs2 (PBE-GGA, optimized geometry); values from VASP
&SYSTEM
  ibrav = 0, nat = 4, ntyp = 3
/
ATOMIC_SPECIES
Li 6.94 Li.upf
Ta 180.95 Ta.upf
As 74.92 As.upf
CELL_PARAMETERS angstrom
0.0000 3.2220 3.2220
3.2220 0.0000 3.2220
3.2220 3.2220 0.0000
ATOMIC_POSITIONS crystal
Li 0.0000 0.0000 0.0000
Ta 0.2500 0.2500 0.2500
As 0.5000 0.5000 0.5000
As 0.7500 0.7500 0.7500
! - Energy of formation: 312 meV/atom
! - Energy above the lowest structure with this stoichiometry: 0.748 eV per atom

***

! AlFeIr2 (PBE-GGA, optimized geometry); values from VASP
&SYSTEM
  ibrav = 0, nat = 4, ntyp = 3
/
ATOMIC_SPECIES
Al 26.98 Al.upf
Fe 55.84 Fe.upf
Ir 192.22 Ir.upf
CELL_PARAMETERS angstrom
1.4282 -2.3422 0.0000
1.4282 2.3422 0.0000
0.0000 0.0000 8.4739
ATOMIC_POSITIONS crystal
Al 0.0000 0.0000 0.0000
Fe 0.0000 0.0000 0.5000
Ir 0.5000 0.5000 0.2420
Ir 0.5000 0.5000 0.7580
! - Energy of formation: -180 meV/atom

***

! Y3TmCu2 (PBE-GGA, optimized geometry); values from VASP
&SYSTEM
  ibrav = 0, nat = 12, ntyp = 3
/
ATOMIC_SPECIES
Y 88.91 Y.upf
Tm 168.93 Tm.upf
Cu 63.55 Cu.upf
CELL_PARAMETERS angstrom
-3.3829 6.7147 3.5933
3.3829 -6.7147 3.5933
3.3829 6.7147 -3.5933
ATOMIC_POSITIONS crystal
Y 0.0171 0.7500 0.2671
Y 0.2500 0.2500 0.0000
Y 0.4829 0.7500 0.7329
Y 0.5171 0.2500 0.2671
Y 0.7500 0.7500 0.0000
Y 0.9829 0.2500 0.7329
Tm 0.0000 0.5000 0.5000
Tm 0.5000 0.0000 0.5000
Cu 0.1402 0.2100 0.3502
Cu 0.3598 0.7100 0.0698
Cu 0.6402 0.2900 0.9302
Cu 0.8598 0.7900 0.6498
! - Energy of formation: 12 meV/atom
! - Energy above the lowest structure with this stoichiometry: 0.180 eV per atom

***

! Ag7Te2S2 (PBE-GGA, optimized geometry); values from VASP
&SYSTEM
  ibrav = 0, nat = 11, ntyp = 3
/
ATOMIC_SPECIES
Ag 107.87 Ag.upf
Te 127.60 Te.upf
S 32.06 S.upf
CELL_PARAMETERS angstrom
4.8870 -6.7258 0.0000
4.8870 6.7258 0.0000
-1.5513 0.0000 3.9574
ATOMIC_POSITIONS crystal
Ag 0.0000 0.0000 0.0000
Ag 0.0826 0.4384 0.7597
Ag 0.3961 0.3961 0.1877
Ag 0.4384 0.0826 0.7597
Ag 0.5616 0.9174 0.2403
Ag 0.6039 0.6039 0.8123
Ag 0.9174 0.5616 0.2403
Te 0.3060 0.6940 0.5000
Te 0.6940 0.3060 0.5000
S 0.1684 0.1684 0.6811
S 0.8316 0.8316 0.3189
! - Energy above the lowest structure with this stoichiometry: 0.000 eV per atom
! - Raw formation energy: 0.035 eV/atom

***

! K2AsRuF (PBE-GGA, optimized geometry); values from VASP
&SYSTEM
  ibrav = 0, nat = 5, ntyp = 4
/
ATOMIC_SPECIES
K 39.10 K.upf
As 74.92 As.upf
Ru 101.07 Ru.upf
F 19.00 F.upf
CELL_PARAMETERS angstrom
4.5319 0.0000 0.0000
0.0000 4.5319 0.0000
0.0000 0.0000 6.1885
ATOMIC_POSITIONS crystal
K 0.0000 0.5000 0.0000
K 0.5000 0.0000 0.0000
As 0.0000 0.0000 0.5000
Ru 0.5000 0.5000 0.5000
F 0.0000 0.0000 0.0000
! - Raw formation energy: -0.007 eV/atom

***

! Cs2AcCuI6 (PBE-GGA, optimized geometry); values from VASP
&SYSTEM
  ibrav = 0, nat = 20, ntyp = 4
/
ATOMIC_SPECIES
Cs 132.91 Cs.upf
Ac 227.00 Ac.upf
Cu 63.55 Cu.upf
I 126.90 I.upf
CELL_PARAMETERS angstrom
9.2510 0.0000 0.0000
0.0000 9.9050 0.0000
-9.0772 0.0000 11.0654
ATOMIC_POSITIONS crystal
Cs 0.2300 0.0783 0.2476
Cs 0.2300 0.4217 0.7476
Cs 0.7700 0.5783 0.2524
Cs 0.7700 0.9217 0.7524
Ac 0.0000 0.0000 0.5000
Ac 0.0000 0.5000 0.0000
Cu 0.5000 0.0000 0.0000
Cu 0.5000 0.5000 0.5000
I 0.1418 0.2263 0.9551
I 0.1418 0.2737 0.4551
I 0.2388 0.6822 0.9528
I 0.2388 0.8178 0.4528
I 0.3819 0.0252 0.7903
I 0.3819 0.4748 0.2903
I 0.6181 0.5252 0.7097
I 0.6181 0.9748 0.2097
I 0.7612 0.1822 0.5472
I 0.7612 0.3178 0.0472
I 0.8582 0.7263 0.5449
I 0.8582 0.7737 0.0449
! - Raw formation energy: -1.234 eV/atom

***

! Tb2Dy2Tm3 (PBE-GGA, optimized geometry); values from VASP
&SYSTEM
  ibrav = 0, nat = 14, ntyp = 3
/
ATOMIC_SPECIES
Tb 158.93 Tb.upf
Dy 162.50 Dy.upf
Tm 168.93 Tm.upf
CELL_PARAMETERS angstrom
-4.7980 4.7980 4.7980
4.7980 -4.7980 4.7980
4.7980 4.7980 -4.7980
ATOMIC_POSITIONS crystal
Tb 0.0000 0.6892 0.5000
Tb 0.5000 0.0000 0.6892
Tb 0.6892 0.5000 0.0000
Tb 0.8108 0.8108 0.8108
Dy 0.0000 0.0857 0.5000
Dy 0.0857 0.5000 0.0000
Dy 0.4143 0.4143 0.4143
Dy 0.5000 0.0000 0.0857
Tm 0.1914 0.9414 0.2500
Tm 0.2500 0.1914 0.9414
Tm 0.3086 0.5586 0.7500
Tm 0.5586 0.7500 0.3086
Tm 0.7500 0.3086 0.5586
Tm 0.9414 0.2500 0.1914
! - Energy of formation: 242 meV/atom
! - Energy above the lowest structure with this stoichiometry: 0.123 eV per atom

***

! OsSeBr4 (PBE-GGA, optimized geometry); values from VASP
&SYSTEM
  ibrav = 0, nat = 6, ntyp = 3
/
ATOMIC_SPECIES
Os 190.23 Os.upf
Se 78.96 Se.upf
Br 79.90 Br.upf
CELL_PARAMETERS angstrom
0.0000 4.2627 4.2627
4.2627 0.0000 4.2627
4.2627 4.2627 0.0000
ATOMIC_POSITIONS crystal
Os 0.0000 0.0000 0.0000
Se 0.7500 0.7500 0.7500
Br 0.3742 0.3742 0.3742
Br 0.3742 0.3742 0.8773
Br 0.3742 0.8773 0.3742
Br 0.8773 0.3742 0.3742
! - Raw formation energy: 1.716 eV/atom

***

Question: What is the formula in the third record?
Answer: Y3TmCu2